VASP calculation (PBE-GGA) on a relaxed structure of SrMg2.

Cell lengths 6.952, 5.460, 10.099 Å; angles 90.00, 90.00, 90.00 degrees
Positions (direct):
1 Sr 0.167 0.250 0.918
2 Sr 0.333 0.750 0.418
3 Sr 0.667 0.250 0.582
4 Sr 0.833 0.750 0.082
5 Mg 0.039 0.250 0.278
6 Mg 0.151 0.250 0.583
7 Mg 0.349 0.750 0.083
8 Mg 0.461 0.750 0.778
9 Mg 0.539 0.250 0.222
10 Mg 0.651 0.250 0.917
11 Mg 0.849 0.750 0.417
12 Mg 0.961 0.750 0.722

* DFT formation energy: 5 meV per atom
* SG: Pnma (62)

VASP calculation (PBE-GGA) on a relaxed structure of ScTcPd2.

Cell lengths 4.559, 4.559, 4.559 Å; angles 60.00, 60.00, 60.00 degrees
Positions (direct):
1 Sc 0.000 0.000 0.000
2 Tc 0.500 0.500 0.500
3 Pd 0.250 0.250 0.250
4 Pd 0.750 0.750 0.750

* DFT formation energy: -187 meV per atom
* relative energy among the computed polymorphs: 0.0 meV/atom
* SG: Fm-3m (225)